Entry 1:
A plane-wave DFT calculation with PBE was carried out for an optimized crystal structure of Hg2AsI.

## Properties
The space group is Pna2_1 (33). The value obtained for the volume is 37.5 A^3/atom. Its uncorrected formation energy is -0.13 eV per atom.

a = 8.046 Å, b = 9.560 Å, c = 7.794 Å
α = 90.00°, β = 90.00°, γ = 90.00°
Fractional positions:
Hg 0.000 0.000 0.000
Hg 0.000 0.000 0.500
Hg 0.046 0.364 0.251
Hg 0.454 0.864 0.751
Hg 0.500 0.500 0.000
Hg 0.500 0.500 0.500
Hg 0.546 0.136 0.251
Hg 0.954 0.636 0.751
As 0.126 0.867 0.750
As 0.374 0.367 0.250
As 0.626 0.633 0.750
As 0.874 0.133 0.250
I 0.118 0.373 0.748
I 0.382 0.873 0.248
I 0.618 0.127 0.748
I 0.882 0.627 0.248

Entry 2:
A plane-wave DFT calculation with PBE was carried out for an optimized crystal structure of HgAsI2.

## Properties
The space group is Imm2 (44). The value obtained for the volume is 48.0 A^3/atom. For the density of states at the Fermi level, the calculation gives 1.90 states/eV per cell. Its uncorrected formation energy is 0.06 eV per atom.

a = 9.537 Å, b = 9.537 Å, c = 9.537 Å
α = 154.89°, β = 148.46°, γ = 40.73°
Fractional positions:
Hg 0.000 0.000 0.000
As 0.100 0.600 0.500
I 0.656 0.656 0.000
I 0.881 0.381 0.500

Entry 3:
A plane-wave DFT calculation with PBE was carried out for an optimized crystal structure of Hg5As2I5.

## Properties
The space group is P-1 (2). The value obtained for the volume is 45.9 A^3/atom. For the density of states at the Fermi level, the calculation gives 1.85 states/eV per cell. Its uncorrected formation energy is -0.12 eV per atom.

a = 4.298 Å, b = 11.222 Å, c = 11.824 Å
α = 99.39°, β = 91.61°, γ = 100.99°
Fractional positions:
Hg 0.000 0.000 0.000
Hg 0.404 0.823 0.238
Hg 0.413 0.812 0.673
Hg 0.587 0.188 0.327
Hg 0.596 0.177 0.762
As 0.487 0.982 0.855
As 0.513 0.018 0.145
I 0.176 0.347 0.752
I 0.180 0.358 0.392
I 0.500 0.000 0.500
I 0.820 0.642 0.608
I 0.824 0.653 0.248

Entry 4:
A plane-wave DFT calculation with PBE was carried out for an optimized crystal structure of Hg3AsI2.

## Properties
The space group is P-1 (2). The value obtained for the volume is 40.5 A^3/atom. Its uncorrected formation energy is -0.09 eV per atom.

a = 8.109 Å, b = 8.660 Å, c = 8.836 Å
α = 103.41°, β = 113.44°, γ = 109.59°
Fractional positions:
Hg 0.045 0.407 0.233
Hg 0.172 0.948 0.420
Hg 0.324 0.435 0.691
Hg 0.676 0.565 0.309
Hg 0.828 0.052 0.580
Hg 0.955 0.593 0.767
As 0.011 0.173 0.399
As 0.989 0.827 0.601
I 0.319 0.779 0.227
I 0.333 0.256 0.038
I 0.667 0.744 0.962
I 0.681 0.221 0.773

Entry 5:
A plane-wave DFT calculation with PBE was carried out for an optimized crystal structure of Hg2AsI.

## Properties
The space group is P2_1/m (11). The value obtained for the volume is 35.6 A^3/atom. For the density of states at the Fermi level, the calculation gives 0.48 states/eV per cell. Its uncorrected formation energy is -0.13 eV per atom.

a = 4.764 Å, b = 7.780 Å, c = 7.690 Å
α = 90.00°, β = 90.13°, γ = 90.00°
Fractional positions:
Hg 0.000 0.000 0.000
Hg 0.000 0.500 0.000
Hg 0.494 0.250 0.643
Hg 0.506 0.750 0.357
As 0.005 0.750 0.216
As 0.995 0.250 0.784
I 0.499 0.750 0.735
I 0.501 0.250 0.265

Entry 6:
A plane-wave DFT calculation with PBE was carried out for an optimized crystal structure of HgAsI2.

## Properties
The space group is Fm-3m (225). The value obtained for the volume is 29.0 A^3/atom. For the density of states at the Fermi level, the calculation gives 3.38 states/eV per cell. Its uncorrected formation energy is 0.47 eV per atom.

a = 5.473 Å, b = 5.473 Å, c = 5.473 Å
α = 60.00°, β = 60.00°, γ = 60.00°
Fractional positions:
Hg 0.000 0.000 0.000
As 0.500 0.500 0.500
I 0.250 0.250 0.250
I 0.750 0.750 0.750